Material: UFeRe2
Method: DFT, GGA-PBE
State: optimized geometry

Unit cell a=9.814 b=9.814 c=9.814 alpha=16.09 beta=16.09 gamma=16.09
Element x y z (fractional)
U1 0.000 0.000 0.000
Fe1 0.500 0.500 0.500
Re1 0.238 0.238 0.238
Re2 0.762 0.762 0.762

## Properties
Uncorrected energy: -0.8002 Ry per atom
Density: 17.49 g/cm3
Total moment: 1.711 μB/cell
Calculated volume: 15.814 Å³ per atom